First-principles (PBE-GGA) data for a geometry-optimized ScVPtCl2 structure, as listed in Alexandria via LeMat-Bulk.

Cell lengths 4.5982, 4.5982, 6.4812 Å; angles 90.00, 90.00, 90.00 degrees
Space group P4/mmm (No. 123)
Asymmetric unit:
Sc  0.0000  0.0000  0.0000 x1
V  0.0000  0.0000  0.5000 x1
Pt  0.5000  0.5000  0.5000 x1
Cl  0.0000  0.5000  0.0000 x2

E_form (uncorrected) = 171 meV/atom
size of the total moment = 3.7 μB per cell
final energy = -4.865 eV/atom


First-principles (PBE-GGA) data for a geometry-optimized K2ZnGa12Pt3 structure, as listed in Alexandria via LeMat-Bulk.

Cell lengths 9.6986, 9.6986, 17.5096 Å; angles 90.00, 90.00, 120.00 degrees
Space group R-3m (No. 166, hexagonal axes)
Asymmetric unit:
K  0.0000  0.0000  0.1179 x6
Zn  0.0000  0.0000  0.5000 x3
Ga  0.0230  0.5115  0.1435 x18
Ga  0.1087  0.2174  0.6360 x18
Pt  0.0000  0.5000  0.0000 x9

formation energy from the elements = -161 meV per atom
size of the total moment = 0.0 μB per cell
final energy = -3.379 eV/atom


First-principles (PBE-GGA) data for a geometry-optimized K5C2S6 structure, as listed in Alexandria via LeMat-Bulk.

Cell lengths 12.7164, 15.2999, 3.6105 Å; angles 90.00, 90.00, 90.00 degrees
Space group Pbam (No. 55)
Asymmetric unit:
K  0.0000  0.0000  0.0000 x2
K  0.0242  0.2718  0.0000 x4
K  0.1779  0.5419  0.0000 x4
C  0.2236  0.2036  0.5000 x4
S  0.0302  0.4366  0.5000 x4
S  0.1288  0.1198  0.5000 x4
S  0.2347  0.7426  0.0000 x4

E_form (uncorrected) = -223 meV/atom
size of the total moment = 0.0 μB per cell
final energy = -3.969 eV/atom


First-principles (PBE-GGA) data for a geometry-optimized Er2PaH structure, as listed in Alexandria via LeMat-Bulk.

Cell lengths 3.2811, 3.2811, 27.5289 Å; angles 90.00, 90.00, 120.00 degrees
Space group R-3m (No. 166, hexagonal axes)
Asymmetric unit:
Er  0.0000  0.0000  0.1165 x6
Pa  0.0000  0.0000  0.0000 x3
H  0.0000  0.0000  0.5000 x3

size of the total moment = 0.0 μB per cell
final energy = -5.404 eV/atom


First-principles (PBE-GGA) data for a geometry-optimized Pm6Te3Rh2S structure, as listed in Alexandria via LeMat-Bulk.

Cell lengths 7.3194, 12.6737, 7.7550 Å; angles 90.00, 108.58, 90.00 degrees
Space group C2/m (No. 12)
Asymmetric unit:
Pm  0.2284  0.0000  0.2132 x4
Pm  0.2403  0.3288  0.2128 x8
Te  0.0000  0.0000  0.5000 x2
Te  0.0000  0.3364  0.5000 x4
Rh  0.0000  0.1673  0.0000 x4
S  0.0000  0.5000  0.0000 x2

E_form (uncorrected) = -1264 meV/atom
size of the total moment = 0.0 μB per cell
final energy = -5.994 eV/atom


First-principles (PBE-GGA) data for a geometry-optimized Pm4Pr3DySe8 structure, as listed in Alexandria via LeMat-Bulk.

Cell lengths 8.4287, 8.4287, 20.5882 Å; angles 90.00, 90.00, 120.00 degrees
Space group R-3m (No. 166, hexagonal axes)
Asymmetric unit:
Pm  0.0000  0.0000  0.0000 x3
Pm  0.0000  0.5000  0.0000 x9
Pr  0.0000  0.5000  0.5000 x9
Dy  0.0000  0.0000  0.5000 x3
Se  0.0000  0.0000  0.2521 x6
Se  0.0085  0.5042  0.2499 x18

E_form (uncorrected) = -1819 meV/atom
size of the total moment = 0.0 μB per cell
final energy = -5.933 eV/atom


First-principles (PBE-GGA) data for a geometry-optimized SrMg2Co structure, as listed in Alexandria via LeMat-Bulk.

Cell lengths 7.1737, 7.1737, 7.1737 Å; angles 90.00, 90.00, 90.00 degrees
Space group Fm-3m (No. 225)
Asymmetric unit:
Sr  0.0000  0.0000  0.0000 x4
Mg  0.2500  0.2500  0.2500 x8
Co  0.0000  0.0000  0.5000 x4

formation energy from the elements = 414 meV per atom
size of the total moment = 5.0 μB per cell
final energy = -2.580 eV/atom


First-principles (PBE-GGA) data for a geometry-optimized Th6In2Au structure, as listed in Alexandria via LeMat-Bulk.

Cell lengths 9.0483, 9.0483, 3.7874 Å; angles 90.00, 90.00, 120.00 degrees
Space group P-62m (No. 189)
Asymmetric unit:
Th  0.0000  0.2650  0.0000 x3
Th  0.0000  0.5963  0.5000 x3
In  0.3333  0.6667  0.0000 x2
Au  0.0000  0.0000  0.5000 x1

formation energy from the elements = -261 meV per atom
size of the total moment = 0.0 μB per cell
final energy = -6.180 eV/atom


First-principles (PBE-GGA) data for a geometry-optimized RbEuF2 structure, as listed in Alexandria via LeMat-Bulk.

Cell lengths 4.1337, 4.1337, 22.6607 Å; angles 90.00, 90.00, 120.00 degrees
Space group R-3m (No. 166, hexagonal axes)
Asymmetric unit:
Rb  0.0000  0.0000  0.0000 x3
Eu  0.0000  0.0000  0.5000 x3
F  0.0000  0.0000  0.1281 x6

E_form (uncorrected) = -2664 meV/atom
size of the total moment = 21.5 μB per cell
final energy = -6.410 eV/atom


First-principles (PBE-GGA) data for a geometry-optimized PtSeBr structure, as listed in Alexandria via LeMat-Bulk.

Cell lengths 6.5234, 6.5234, 6.5234 Å; angles 90.00, 90.00, 90.00 degrees
Space group F-43m (No. 216)
Asymmetric unit:
Pt  0.0000  0.0000  0.0000 x4
Se  0.2500  0.2500  0.2500 x4
Br  0.0000  0.0000  0.5000 x4

E_form (uncorrected) = 813 meV/atom
size of the total moment = 0.0 μB per cell
final energy = -2.920 eV/atom


First-principles (PBE-GGA) data for a geometry-optimized Ca2TaTl structure, as listed in Alexandria via LeMat-Bulk.

Cell lengths 7.5803, 7.5803, 7.5803 Å; angles 90.00, 90.00, 90.00 degrees
Space group Fm-3m (No. 225)
Asymmetric unit:
Ca  0.2500  0.2500  0.2500 x8
Ta  0.0000  0.0000  0.0000 x4
Tl  0.0000  0.0000  0.5000 x4

formation energy from the elements = 551 meV per atom
size of the total moment = 11.9 μB per cell
final energy = -4.004 eV/atom


First-principles (PBE-GGA) data for a geometry-optimized Er5Th3Ga12 structure, as listed in Alexandria via LeMat-Bulk.

Cell lengths 16.8702, 16.8702, 16.8702 Å; angles 90.00, 90.00, 90.00 degrees
Space group Ia-3d (No. 230)
Asymmetric unit:
Er  0.0000  0.0000  0.0000 x16
Er  0.0000  0.2500  0.3750 x24
Th  0.0000  0.2500  0.1250 x24
Ga  0.0011  0.0751  0.1505 x96

formation energy from the elements = 124 meV per atom
size of the total moment = 0.0 μB per cell
final energy = -3.946 eV/atom